Record 1
Material: K2PPt
Method: DFT, GGA-PBE
State: optimized geometry

Computed properties:
- total magnetization (μB per formula unit) = 0.335

```
data_K2PPt
_space_group_name_H-M_alt 'R -3 m'
_space_group_IT_number 166
_space_group_name_Hall '-R 3 2"'
_cell_length_a 3.1214
_cell_length_b 3.1214
_cell_length_c 31.7721
_cell_angle_alpha 90.00
_cell_angle_beta 90.00
_cell_angle_gamma 120.00
loop_
_atom_site_label
_atom_site_fract_x
_atom_site_fract_y
_atom_site_fract_z
K1 0.0000 0.0000 0.2492
P1 0.0000 0.0000 0.5000
Pt1 0.0000 0.0000 0.0000
```

Record 2
Material: KPPt
Method: DFT, GGA-PBE
State: optimized geometry

Computed properties:
- total magnetization (μB per formula unit) = 0.000

```
data_KPPt
_space_group_name_H-M_alt 'C 1 2/m 1'
_space_group_IT_number 12
_cell_length_a 7.168
_cell_length_b 4.142
_cell_length_c 10.994
_cell_angle_alpha 90.00
_cell_angle_beta 93.33
_cell_angle_gamma 90.00
loop_
_space_group_symop_operation_xyz
'x,y,z'
'-x,-y,-z'
'-x,y,-z'
'x,-y,z'
'x+1/2,y+1/2,z'
'-x+1/2,-y+1/2,-z'
'-x+1/2,y+1/2,-z'
'x+1/2,-y+1/2,z'
loop_
_atom_site_label
_atom_site_fract_x
_atom_site_fract_y
_atom_site_fract_z
K1 0.194 0.000 0.308
P1 0.009 0.500 0.103
Pt1 0.160 0.000 0.925
```

Record 3
Material: KPPt
Method: DFT, GGA-PBE
State: optimized geometry

Computed properties:
- total magnetization (μB per formula unit) = 0.000

```
data_KPPt
_space_group_name_H-M_alt 'P 21 3'
_space_group_IT_number 198
_space_group_name_Hall 'P 2ac 2ab 3'
_cell_length_a 6.511
_cell_length_b 6.511
_cell_length_c 6.511
_cell_angle_alpha 90.00
_cell_angle_beta 90.00
_cell_angle_gamma 90.00
loop_
_atom_site_label
_atom_site_fract_x
_atom_site_fract_y
_atom_site_fract_z
K1 0.127 0.127 0.127
P1 0.096 0.596 0.904
Pt1 0.147 0.353 0.647
```

Record 4
Material: KPPt2
Method: DFT, GGA-PBE
State: optimized geometry

Computed properties:
- total magnetization (μB per formula unit) = 0.000

```
data_KPPt2
_space_group_name_H-M_alt 'C m m m'
_space_group_IT_number 65
_space_group_name_Hall '-C 2 2'
_cell_length_a 4.266
_cell_length_b 4.273
_cell_length_c 8.294
_cell_angle_alpha 90.00
_cell_angle_beta 90.00
_cell_angle_gamma 90.00
loop_
_atom_site_label
_atom_site_fract_x
_atom_site_fract_y
_atom_site_fract_z
K1 0.000 0.000 0.000
P1 0.000 0.000 0.500
Pt1 0.000 0.500 0.325
```

no.,uncorrected energy (eV/atom)
1,-3.064
2,-4.586
3,-4.825
4,-4.656